Density functional theory data (PBE) for K2Sn5Au3 after structural relaxation.

Cell lengths 4.850, 7.690, 14.221 Å; angles 90.00, 99.82, 90.00 degrees
Positions (direct):
Sn (0.948, 0.091, 0.896)
Au (0.778, 0.714, 0.556)
Au (0.222, 0.214, 0.444)
Sn (0.600, 0.891, 0.200)
K (0.823, 0.223, 0.646)
K (0.520, 0.259, 0.040)
Sn (0.705, 0.420, 0.411)
Sn (0.120, 0.268, 0.239)
Sn (0.292, 0.510, 0.585)
K (0.480, 0.759, 0.960)
Au (0.391, 0.023, 0.783)
K (0.177, 0.723, 0.354)
Au (0.055, 0.968, 0.111)
Sn (0.400, 0.391, 0.800)
Sn (0.708, 0.010, 0.415)
Au (0.945, 0.468, 0.889)
Sn (0.052, 0.591, 0.104)
Sn (0.880, 0.768, 0.761)
Au (0.609, 0.523, 0.217)
Sn (0.295, 0.920, 0.589)

Calculated values
As for the polymorph energy (0 for the lowest one): 35 meV/atom. The calculation puts the energy relative to the elements at -0.252 eV/atom. For the total magnetic moment, the calculation gives 0.000 μB per atom. Its symmetry is Cmc2_1.

Density functional theory data (PBE) for GaPt after structural relaxation.

Cell lengths 4.274, 2.862, 15.669 Å; angles 90.00, 90.00, 90.00 degrees
Positions (direct):
Ga (0.000, 0.500, 0.319)
Pt (0.500, 0.500, 0.000)
Ga (0.000, 0.000, 0.000)
Ga (0.500, 0.000, 0.819)
Ga (0.500, 0.000, 0.181)
Pt (0.000, 0.000, 0.500)
Pt (0.000, 0.500, 0.851)
Pt (0.000, 0.500, 0.149)
Ga (0.000, 0.500, 0.681)
Pt (0.500, 0.000, 0.351)
Pt (0.500, 0.000, 0.649)
Ga (0.500, 0.500, 0.500)

Calculated values
The calculation puts the energy relative to the elements at -0.526 eV/atom. For the total magnetic moment, the calculation gives 0.000 μB per atom. Its symmetry is Immm.